DFT (PBE-GGA) results for a relaxed Y5Ho3Th3 crystal.

The structure in POSCAR format:
```
Y5Ho3Th3
1.0
-1.033 -2.974 4.398
9.662 -0.998 1.594
-4.887 7.567 3.970
Y Ho Th
5 3 3
Direct
0.500 0.333 0.667
0.500 0.667 0.333
0.500 0.263 0.263
0.500 0.000 0.737
0.500 0.737 0.000
0.000 0.460 0.460
0.000 0.540 0.000
0.000 0.000 0.540
0.500 0.631 0.631
0.500 0.000 0.369
0.500 0.369 0.000
```

Properties
The magnetic moment comes out at 0.000 μB/f.u. The calculation puts the energy above the most stable polymorph in this dataset at 6.04 eV per formula unit.

***

DFT (PBE-GGA) results for a relaxed Y4HoTh crystal.

The structure in POSCAR format:
```
Y4HoTh
1.0
-3.057 0.507 -1.444
-3.653 -1.078 7.355
0.711 8.141 1.350
Y Ho Th
4 1 1
Direct
0.500 0.268 0.732
0.000 0.762 0.762
0.000 0.238 0.238
0.500 0.732 0.268
0.000 0.500 0.500
0.500 0.000 0.000
```

Properties
The magnetic moment comes out at 0.000 μB/f.u. The calculation puts the energy above the most stable polymorph in this dataset at 4.16 eV per formula unit.

***

DFT (PBE-GGA) results for a relaxed Y14HoTh crystal.

The structure in POSCAR format:
```
Y14HoTh
1.0
7.086 0.951 0.000
-0.951 7.086 0.000
0.000 0.000 10.082
Y Ho Th
14 1 1
Direct
0.375 0.625 0.500
0.875 0.125 0.500
0.875 0.625 0.000
0.875 0.625 0.500
0.375 0.125 0.000
0.375 0.125 0.500
0.627 0.877 0.752
0.627 0.877 0.248
0.123 0.373 0.752
0.123 0.373 0.248
0.123 0.877 0.752
0.123 0.877 0.248
0.627 0.373 0.752
0.627 0.373 0.248
0.375 0.625 0.000
0.875 0.125 0.000
```

Properties
The magnetic moment comes out at 0.000 μB/f.u.

***

DFT (PBE-GGA) results for a relaxed Y3Ho12Th crystal.

The structure in POSCAR format:
```
Y3Ho12Th
1.0
5.009 0.000 0.000
0.000 5.009 0.000
0.000 0.000 19.985
Y Ho Th
3 12 1
Direct
0.000 0.000 0.249
0.000 0.000 0.500
0.000 0.000 0.751
0.500 0.500 0.000
0.500 0.500 0.251
0.500 0.500 0.500
0.500 0.500 0.749
0.500 0.000 0.123
0.500 0.000 0.375
0.500 0.000 0.625
0.500 0.000 0.877
0.000 0.500 0.123
0.000 0.500 0.375
0.000 0.500 0.625
0.000 0.500 0.877
0.000 0.000 0.000
```

Properties
The magnetic moment comes out at 0.000 μB/f.u.

***

DFT (PBE-GGA) results for a relaxed Y2Ho4Th5 crystal.

The structure in POSCAR format:
```
Y2Ho4Th5
1.0
3.468 0.000 0.000
0.000 8.798 -0.155
0.000 1.144 11.584
Y Ho Th
2 4 5
Direct
0.000 0.943 0.636
0.000 0.057 0.364
0.500 0.295 0.554
0.500 0.840 0.901
0.500 0.705 0.446
0.500 0.160 0.099
0.000 0.428 0.290
0.000 0.797 0.172
0.000 0.500 0.000
0.000 0.203 0.828
0.000 0.572 0.710
```

Properties
The magnetic moment comes out at 0.000 μB/f.u.

***

DFT (PBE-GGA) results for a relaxed YHo2Th crystal.

The structure in POSCAR format:
```
YHo2Th
1.0
-1.765 2.152 2.259
-3.196 -0.988 1.287
3.472 -4.686 10.018
Y Ho Th
1 2 1
Direct
0.501 0.501 0.498
0.082 0.082 0.754
0.251 0.251 0.246
0.666 0.666 0.001
```

Properties
The magnetic moment comes out at 0.461 μB/f.u. The calculation puts the energy above the most stable polymorph in this dataset at 0.00 eV per formula unit.

***

no.,calculated formation energy (kJ per mole of atoms)
1,90
2,70
3,2
4,3
5,13
6,0